Material: PuTl2O6
Method: DFT, GGA-PBE
State: relaxed

Computed properties:
- Formation energy without anion corrections: -1.385 eV per atom
- Space-group type: P2_1/c

Cell lengths 6.3900, 5.4957, 10.8051 Å; angles 90.00, 119.99, 90.00 degrees
Last column: nearest neighbours and their distance in Å.
Fractional positions:
Pu  0.0000  0.0000  0.0000  2 O 1.86
Pu  0.0000  0.5000  0.5000  2 O 1.86
Tl  0.3528  0.0216  0.8094  3 O 2.08-2.31
Tl  0.3528  0.4784  0.3094  3 O 2.08-2.31
Tl  0.6472  0.5216  0.6906  3 O 2.08-2.31
Tl  0.6472  0.9784  0.1906  3 O 2.08-2.31
O  0.0541  0.7368  0.1207  1 Pu 1.86
O  0.0541  0.7632  0.6207  1 Pu 1.86
O  0.2724  0.6420  0.4563  1 Tl 2.10, 1 Pu 2.16
O  0.2724  0.8580  0.9563  1 Tl 2.10, 1 Pu 2.16
O  0.3249  0.1812  0.1826  2 Tl 2.08-2.31, 1 Pu 2.26
O  0.3249  0.3188  0.6826  2 Tl 2.08-2.31, 1 Pu 2.26
O  0.6751  0.6812  0.3174  2 Tl 2.08-2.31, 1 Pu 2.26
O  0.6751  0.8188  0.8174  2 Tl 2.08-2.31, 1 Pu 2.26
O  0.7276  0.1420  0.0437  1 Tl 2.10, 1 Pu 2.16
O  0.7276  0.3580  0.5437  1 Tl 2.10, 1 Pu 2.16
O  0.9459  0.2368  0.3793  1 Pu 1.86
O  0.9459  0.2632  0.8793  1 Pu 1.86

Material: LaTeCl
Method: DFT, GGA-PBE
State: relaxed

Computed properties:
- Formation energy without anion corrections: -1.843 eV per atom
- Space-group type: F-43m
- E above lowest polymorph: 12.4 kJ/mol of atoms

Cell lengths 5.2315, 5.2315, 5.2315 Å; angles 60.00, 60.00, 60.00 degrees
Last column: nearest neighbours and their distance in Å.
Fractional positions:
La  0.0000  0.0000  0.0000  4 Cl 3.20, 4 Te 3.20
Te  0.2500  0.2500  0.2500  4 La 3.20
Cl  0.7500  0.7500  0.7500  4 La 3.20

Material: RuN2Cl
Method: DFT, GGA-PBE
State: relaxed

Computed properties:
- Formation energy without anion corrections: 2.200 eV per atom
- Space-group type: Fm-3m
- E above lowest polymorph: 136.8 kJ/mol of atoms

Cell lengths 3.8769, 3.8769, 3.8769 Å; angles 60.00, 60.00, 60.00 degrees
Last column: nearest neighbours and their distance in Å.
Fractional positions:
Ru  0.0000  0.0000  0.0000  8 N 2.37
N  0.2500  0.2500  0.2500  4 Cl 2.37, 4 Ru 2.37
N  0.7500  0.7500  0.7500  4 Cl 2.37, 4 Ru 2.37
Cl  0.5000  0.5000  0.5000  8 N 2.37

Material: Sc3GaN
Method: DFT, GGA-PBE
State: relaxed

Computed properties:
- Formation energy without anion corrections: -0.752 eV per atom
- Space-group type: P6_3/mmc

Cell lengths 3.6783, 3.6783, 16.3960 Å; angles 90.00, 90.00, 120.00 degrees
Last column: nearest neighbours and their distance in Å.
Fractional positions:
Sc  0.0000  0.0000  0.2500  3 N 2.12
Sc  0.0000  0.0000  0.7500  3 N 2.12
Sc  0.3333  0.6667  0.1128  1 N 2.25
Sc  0.3333  0.6667  0.3872  1 N 2.25
Sc  0.6667  0.3333  0.6128  1 N 2.25
Sc  0.6667  0.3333  0.8872  1 N 2.25
Ga  0.0000  0.0000  0.0000  6 Sc 2.82
Ga  0.0000  0.0000  0.5000  6 Sc 2.82
N  0.3333  0.6667  0.2500  5 Sc 2.12-2.25
N  0.6667  0.3333  0.7500  5 Sc 2.12-2.25

Computed V, in the same sequence as the records: 328.6 101.2 41.2 192.1 Å³ per cell.